# Pr8HgOs3Br4

A geometry-optimized Pr8HgOs3Br4 structure (PBE, Alexandria via LeMat-Bulk).

```
data_Pr8HgOs3Br4
_symmetry_space_group_name_H-M 'R -3 m'
_symmetry_Int_Tables_number 166
_symmetry_space_group_name_Hall '-R 3 2"'
_cell_length_a 8.4926
_cell_length_b 8.4926
_cell_length_c 23.5389
_cell_angle_alpha 90.00
_cell_angle_beta 90.00
_cell_angle_gamma 120.00
loop_
_atom_site_label
_atom_site_type_symbol
_atom_site_fract_x
_atom_site_fract_y
_atom_site_fract_z
_atom_site_occupancy
Pr1 Pr 0.0000 0.0000 0.2333 1
Pr2 Pr 0.0240 0.5120 0.7673 1
Hg1 Hg 0.0000 0.0000 0.5000 1
Os1 Os 0.0000 0.5000 0.5000 1
Br1 Br 0.0000 0.0000 0.0000 1
Br2 Br 0.0000 0.5000 0.0000 1
```

Summary:
- N(E_F) (states/eV/atom) = 0.374
- raw formation energy (eV per atom) = -0.709
- crystal system = trigonal
- total moment (μB/f.u.) = 0.000